1.
The following is a DFT calculation (PBE) of a relaxed AcReGe3 crystal.

Structure (extended XYZ):
```
10
Lattice="-1.976 -3.385 -2.518 7.039 0.213 -1.502 -1.565 -3.946 6.533" Properties=species:S:1:pos:R:3 pbc="T T T"
Ac 3.506 -2.915 -3.142
Ac -0.007 -4.203 5.656
Re -0.714 -2.946 0.211
Re 4.213 -4.172 2.303
Ge 0.635 -1.820 1.949
Ge 2.864 -5.297 0.565
Ge 4.138 -2.566 0.202
Ge -0.640 -4.552 2.312
Ge 1.958 -3.552 3.239
Ge 1.541 -3.566 -0.725
```

DFT formation energy in eV/atom: -0.04

***

2.
The following is a DFT calculation (PBE) of a relaxed BaBiS crystal.

Structure (extended XYZ):
```
6
Lattice="-3.911 1.619 -1.456 -1.979 -3.891 0.992 -2.162 3.602 9.817" Properties=species:S:1:pos:R:3 pbc="T T T"
Bi 0.000 0.000 0.000
Bi -2.945 -1.136 -0.232
S -2.379 0.369 6.802
S -2.729 2.098 2.783
Ba -1.744 -0.689 3.921
Ba -3.363 3.155 5.664
```

Formation energy from raw total energies in eV/atom: -1.114

***

3.
The following is a DFT calculation (PBE) of a relaxed PaAgTe2 crystal.

Structure (extended XYZ):
```
4
Lattice="-3.974 -0.695 0.818 -1.828 -3.406 -1.416 0.462 -5.893 7.597" Properties=species:S:1:pos:R:3 pbc="T T T"
Pa -2.670 -4.997 3.499
Te -0.229 -4.588 5.350
Te -5.112 -5.406 1.649
Ag 0.000 0.000 0.000
```

Formation energy from raw total energies in eV/atom: -0.371

***

4.
The following is a DFT calculation (PBE) of a relaxed SrTiTlF6 crystal.

Structure (extended XYZ):
```
18
Lattice="-0.318 5.817 2.112 -2.958 -1.569 -5.215 -8.471 -2.478 5.550" Properties=species:S:1:pos:R:3 pbc="T T T"
Sr -4.196 0.274 -1.385
Sr -7.551 1.497 3.833
Ti -3.315 2.736 1.057
Ti -8.431 -0.965 1.390
Tl 0.000 0.000 0.000
Tl -4.236 -1.239 2.775
F -3.217 2.473 -0.926
F -2.586 4.600 0.987
F -8.398 -1.047 -0.610
F -9.160 -2.829 1.461
F -4.156 0.920 0.978
F -5.056 3.704 0.849
F -10.219 -0.129 1.050
F -3.349 2.818 3.058
F -6.691 -1.934 1.599
F -1.528 1.899 1.397
F -7.590 0.851 1.469
F -8.529 -0.702 3.373
```

Formation energy from raw total energies in eV/atom: -3.160

***

5.
The following is a DFT calculation (PBE) of a relaxed Nb3WBr crystal.

Structure (extended XYZ):
```
5
Lattice="-0.719 4.071 2.179 -0.222 -2.233 4.099 4.613 0.528 0.537" Properties=species:S:1:pos:R:3 pbc="T T T"
Nb -0.111 -1.117 2.050
Nb 2.306 0.264 0.268
Nb -0.360 2.036 1.090
Br 0.000 0.000 0.000
W 1.836 1.183 3.408
```

Formation energy from raw total energies in eV/atom: 1.490

***

6.
The following is a DFT calculation (PBE) of a relaxed AsPSe2N crystal.

Structure (extended XYZ):
```
5
Lattice="-4.443 2.377 -0.177 -0.723 -1.702 -4.690 -1.496 -2.706 1.213" Properties=species:S:1:pos:R:3 pbc="T T T"
P 0.000 0.000 0.000
As -3.331 -1.016 -1.827
Se -0.362 -0.851 -2.345
Se -2.221 1.188 -0.089
N -0.748 -1.353 0.606
```

Formation energy from raw total energies in eV/atom: 0.617

***

Copy entry 4 word for word.
The following is a DFT calculation (PBE) of a relaxed SrTiTlF6 crystal.

Structure (extended XYZ):
```
18
Lattice="-0.318 5.817 2.112 -2.958 -1.569 -5.215 -8.471 -2.478 5.550" Properties=species:S:1:pos:R:3 pbc="T T T"
Sr -4.196 0.274 -1.385
Sr -7.551 1.497 3.833
Ti -3.315 2.736 1.057
Ti -8.431 -0.965 1.390
Tl 0.000 0.000 0.000
Tl -4.236 -1.239 2.775
F -3.217 2.473 -0.926
F -2.586 4.600 0.987
F -8.398 -1.047 -0.610
F -9.160 -2.829 1.461
F -4.156 0.920 0.978
F -5.056 3.704 0.849
F -10.219 -0.129 1.050
F -3.349 2.818 3.058
F -6.691 -1.934 1.599
F -1.528 1.899 1.397
F -7.590 0.851 1.469
F -8.529 -0.702 3.373
```

Formation energy from raw total energies in eV/atom: -3.160

***

Please write out number 1 again, unchanged.
The following is a DFT calculation (PBE) of a relaxed AcReGe3 crystal.

Structure (extended XYZ):
```
10
Lattice="-1.976 -3.385 -2.518 7.039 0.213 -1.502 -1.565 -3.946 6.533" Properties=species:S:1:pos:R:3 pbc="T T T"
Ac 3.506 -2.915 -3.142
Ac -0.007 -4.203 5.656
Re -0.714 -2.946 0.211
Re 4.213 -4.172 2.303
Ge 0.635 -1.820 1.949
Ge 2.864 -5.297 0.565
Ge 4.138 -2.566 0.202
Ge -0.640 -4.552 2.312
Ge 1.958 -3.552 3.239
Ge 1.541 -3.566 -0.725
```

DFT formation energy in eV/atom: -0.04